Entry 1:
# Zr4TlC | Alexandria | PBE | optimized geometry
data_Zr4TlC
_chemical_formula_sum 'Zr16 Tl4 C4'
_cell_length_a 7.8450
_cell_length_b 13.1441
_cell_length_c 5.6803
_cell_angle_alpha 90.00
_cell_angle_beta 118.08
_cell_angle_gamma 90.00
_symmetry_space_group_name_H-M 'C 1 2/c 1'
_symmetry_Int_Tables_number 15
loop_
_symmetry_equiv_pos_as_xyz
'x,y,z'
'-x,-y,-z'
'-x,y,-z+1/2'
'x,-y,z+1/2'
'x+1/2,y+1/2,z'
'-x+1/2,-y+1/2,-z'
'-x+1/2,y+1/2,-z+1/2'
'x+1/2,-y+1/2,z+1/2'
loop_
_atom_site_label
_atom_site_type_symbol
_atom_site_fract_x
_atom_site_fract_y
_atom_site_fract_z
Zr1 Zr 0.1407 0.2038 0.1545
Zr2 Zr 0.1942 0.0544 0.6919
Tl1 Tl 0.0000 0.3959 0.7500
C1 C 0.0000 0.0647 0.2500
# * calculated density: 7.472 g/cm3
# * crystal system: monoclinic
# * magnetization: 0.0 μB per formula unit
# * ΔE_f: -0.1826 eV per atom

Entry 2:
# InTe2PtI | Alexandria | PBE | optimized geometry
data_InTe2PtI
_chemical_formula_sum 'In1 Te2 Pt1 I1'
_cell_length_a 5.3589
_cell_length_b 5.3589
_cell_length_c 5.6743
_cell_angle_alpha 90.00
_cell_angle_beta 90.00
_cell_angle_gamma 90.00
_symmetry_space_group_name_H-M 'P 4/m m m'
_symmetry_Int_Tables_number 123
_symmetry_space_group_name_Hall '-P 4 2'
loop_
_atom_site_label
_atom_site_type_symbol
_atom_site_fract_x
_atom_site_fract_y
_atom_site_fract_z
In1 In 0.0000 0.0000 0.0000
Te1 Te 0.0000 0.5000 0.5000
Pt1 Pt 0.5000 0.5000 0.5000
I1 I 0.5000 0.5000 0.0000
# * calculated density: 7.052 g/cm3
# * crystal system: tetragonal
# * magnetization: 0.0 μB per formula unit
# * uncorrected formation energy: 0.099 eV/atom

Entry 3:
# FeNi | Alexandria | PBE | optimized geometry
data_FeNi
_chemical_formula_sum 'Fe6 Ni6'
_cell_length_a 9.4315
_cell_length_b 2.5020
_cell_length_c 5.9714
_cell_angle_alpha 90.00
_cell_angle_beta 105.51
_cell_angle_gamma 90.00
_symmetry_space_group_name_H-M 'C 1 m 1'
_symmetry_Int_Tables_number 8
loop_
_symmetry_equiv_pos_as_xyz
'x,y,z'
'x,-y,z'
'x+1/2,y+1/2,z'
'x+1/2,-y+1/2,z'
loop_
_atom_site_label
_atom_site_type_symbol
_atom_site_fract_x
_atom_site_fract_y
_atom_site_fract_z
Fe1 Fe 0.0000 0.0000 0.0000
Fe2 Fe 0.0590 0.0000 0.6065
Fe3 Fe 0.1773 0.5000 0.3280
Ni1 Ni 0.2237 0.5000 0.9394
Ni2 Ni 0.3369 0.0000 0.6656
Ni3 Ni 0.3947 0.0000 0.2755
# * calculated density: 8.405 g/cm3
# * crystal system: monoclinic
# * magnetization: 3.2 μB per formula unit
# * ΔE_f: -0.0117 eV per atom

Entry 4:
# ThHPd3 | Alexandria | PBE | optimized geometry
data_ThHPd3
_chemical_formula_sum 'Th2 H2 Pd6'
_cell_length_a 5.8917
_cell_length_b 5.2694
_cell_length_c 5.1670
_cell_angle_alpha 90.00
_cell_angle_beta 90.00
_cell_angle_gamma 90.00
_symmetry_space_group_name_H-M 'P m n 21'
_symmetry_Int_Tables_number 31
loop_
_symmetry_equiv_pos_as_xyz
'x,y,z'
'-x+1/2,-y,z+1/2'
'-x,y,z'
'x+1/2,-y,z+1/2'
loop_
_atom_site_label
_atom_site_type_symbol
_atom_site_fract_x
_atom_site_fract_y
_atom_site_fract_z
Th1 Th 0.0000 0.1640 0.0000
H1 H 0.0000 0.6972 0.8258
Pd1 Pd 0.0000 0.8153 0.4821
Pd2 Pd 0.2378 0.3308 0.5068
# * calculated density: 11.435 g/cm3
# * crystal system: orthorhombic
# * magnetization: 0.0 μB per formula unit
# * E_tot: -5.94 eV/atom

Entry 5:
# CrAgAu2 | Alexandria | PBE | optimized geometry
data_CrAgAu2
_chemical_formula_sum 'Cr2 Ag2 Au4'
_cell_length_a 9.6853
_cell_length_b 2.9923
_cell_length_c 4.9333
_cell_angle_alpha 90.00
_cell_angle_beta 101.32
_cell_angle_gamma 90.00
_symmetry_space_group_name_H-M 'C 1 m 1'
_symmetry_Int_Tables_number 8
loop_
_symmetry_equiv_pos_as_xyz
'x,y,z'
'x,-y,z'
'x+1/2,y+1/2,z'
'x+1/2,-y+1/2,z'
loop_
_atom_site_label
_atom_site_type_symbol
_atom_site_fract_x
_atom_site_fract_y
_atom_site_fract_z
Cr1 Cr 0.0000 0.0000 0.0000
Ag1 Ag 0.2507 0.5000 0.2649
Au1 Au 0.0039 0.5000 0.5027
Au2 Au 0.2577 0.0000 0.7756
# * calculated density: 13.119 g/cm3
# * crystal system: monoclinic
# * magnetization: 4.2 μB per formula unit
# * ΔE_f: 0.1275 eV per atom

Entry 6:
# Rb4BaNb3O12 | Alexandria | PBE | optimized geometry
data_Rb4BaNb3O12
_chemical_formula_sum 'Rb8 Ba2 Nb6 O24'
_cell_length_a 8.6898
_cell_length_b 8.6898
_cell_length_c 8.6898
_cell_angle_alpha 90.00
_cell_angle_beta 90.00
_cell_angle_gamma 90.00
_symmetry_space_group_name_H-M 'I m -3 m'
_symmetry_Int_Tables_number 229
_symmetry_space_group_name_Hall '-I 4 2 3'
loop_
_atom_site_label
_atom_site_type_symbol
_atom_site_fract_x
_atom_site_fract_y
_atom_site_fract_z
Rb1 Rb 0.2500 0.2500 0.2500
Ba1 Ba 0.0000 0.0000 0.0000
Nb1 Nb 0.0000 0.0000 0.5000
O1 O 0.0000 0.0000 0.2832
O2 O 0.0000 0.2500 0.5000
# * calculated density: 4.808 g/cm3
# * crystal system: cubic
# * magnetization: 2.8 μB per formula unit
# * uncorrected formation energy: -1.967 eV/atom

Entry 7:
# Y2InNi2 | Alexandria | PBE | optimized geometry
data_Y2InNi2
_chemical_formula_sum 'Y4 In2 Ni4'
_cell_length_a 5.3212
_cell_length_b 5.3212
_cell_length_c 7.6557
_cell_angle_alpha 90.00
_cell_angle_beta 90.00
_cell_angle_gamma 90.00
_symmetry_space_group_name_H-M 'I 4/m m m'
_symmetry_Int_Tables_number 139
_symmetry_space_group_name_Hall '-I 4 2'
loop_
_atom_site_label
_atom_site_type_symbol
_atom_site_fract_x
_atom_site_fract_y
_atom_site_fract_z
Y1 Y 0.0000 0.5000 0.2500
In1 In 0.0000 0.0000 0.0000
Ni1 Ni 0.0000 0.0000 0.3522
# * calculated density: 6.282 g/cm3
# * crystal system: tetragonal
# * magnetization: 0.0 μB per formula unit
# * ΔE_f: -0.2991 eV per atom

Entry 8:
# AsSe2IBr | Alexandria | PBE | optimized geometry
data_AsSe2IBr
_chemical_formula_sum 'As1 Se2 I1 Br1'
_cell_length_a 5.4531
_cell_length_b 5.4531
_cell_length_c 5.6441
_cell_angle_alpha 90.00
_cell_angle_beta 90.00
_cell_angle_gamma 90.00
_symmetry_space_group_name_H-M 'P 4/m m m'
_symmetry_Int_Tables_number 123
_symmetry_space_group_name_Hall '-P 4 2'
loop_
_atom_site_label
_atom_site_type_symbol
_atom_site_fract_x
_atom_site_fract_y
_atom_site_fract_z
As1 As 0.0000 0.0000 0.0000
Se1 Se 0.0000 0.5000 0.5000
I1 I 0.5000 0.5000 0.5000
Br1 Br 0.5000 0.5000 0.0000
# * calculated density: 4.350 g/cm3
# * crystal system: tetragonal
# * magnetization: 1.4 μB per formula unit
# * uncorrected formation energy: 0.972 eV/atom

Entry 9:
# Nd2Ni5Ge3 | Alexandria | PBE | optimized geometry
data_Nd2Ni5Ge3
_chemical_formula_sum 'Nd8 Ni20 Ge12'
_cell_length_a 4.0648
_cell_length_b 25.2893
_cell_length_c 6.6199
_cell_angle_alpha 90.00
_cell_angle_beta 90.00
_cell_angle_gamma 90.00
_symmetry_space_group_name_H-M 'C m c 21'
_symmetry_Int_Tables_number 36
loop_
_symmetry_equiv_pos_as_xyz
'x,y,z'
'-x,-y,z+1/2'
'-x,y,z'
'x,-y,z+1/2'
'x+1/2,y+1/2,z'
'-x+1/2,-y+1/2,z+1/2'
'-x+1/2,y+1/2,z'
'x+1/2,-y+1/2,z+1/2'
loop_
_atom_site_label
_atom_site_type_symbol
_atom_site_fract_x
_atom_site_fract_y
_atom_site_fract_z
Nd1 Nd 0.0000 0.0212 0.0000
Nd2 Nd 0.0000 0.3248 0.0084
Ni1 Ni 0.0000 0.0872 0.5673
Ni2 Ni 0.0000 0.2106 0.1531
Ni3 Ni 0.0000 0.2301 0.7690
Ni4 Ni 0.0000 0.3723 0.5124
Ni5 Ni 0.0000 0.4323 0.8275
Ge1 Ge 0.0000 0.1194 0.2311
Ge2 Ge 0.0000 0.2757 0.4548
Ge3 Ge 0.0000 0.4382 0.2082
# * calculated density: 7.807 g/cm3
# * crystal system: orthorhombic
# * magnetization: 0.0 μB per formula unit
# * ΔE_f: -0.4441 eV per atom

> Which of these has the lowest calculated density?

AsSe2IBr